Here is crystalline Sm4Er5Tl at its relaxed geometry from Alexandria via LeMat-Bulk. Energies are from PBE-GGA.

Lattice parameters (Å, degrees): 4.1114 4.1114 18.3666 90.00 90.00 90.00
Element x y z (fractional)
Sm: 0.0000 0.0000 0.1027
Sm: 0.0000 0.0000 0.3031
Sm: 0.0000 0.0000 0.6969
Sm: 0.0000 0.0000 0.8973
Er: 0.5000 0.5000 0.0000
Er: 0.5000 0.5000 0.2064
Er: 0.5000 0.5000 0.4112
Er: 0.5000 0.5000 0.5888
Er: 0.5000 0.5000 0.7936
Tl: 0.0000 0.0000 0.5000

Summary:
- N(E_F): 1.7264 states/eV per atom
- Energy: -0.1604 hartree per atom
- Symmetry: No. 123
- E above lowest polymorph: 0.0 meV/atom
- ΔH_f (0 K): 40 meV per atom